Record 1
Below is Ca2NbOs at its PBEsol-relaxed geometry, with properties calculated at the SCAN level.

abc: 6.952 6.952 6.952
angles: 90.00 90.00 90.00
Space group Fm-3m (No. 225)
Unique sites:
Ca 0.250 0.250 0.250 (multiplicity 8)
Nb 0.000 0.000 0.000 (multiplicity 4)
Os 0.000 0.000 0.500 (multiplicity 4)

Properties
Raw total energy, hartree per atom: -1.1080
Total moment, Bohr magnetons per cell: 13.0

Record 2
Below is SrCl at its PBEsol-relaxed geometry, with properties calculated at the SCAN level.

abc: 8.090 8.090 8.090
angles: 90.00 90.00 90.00
Space group Fd-3m (No. 227, origin choice 2)
Unique sites:
Sr 0.125 0.125 0.125 (multiplicity 8)
Cl 0.125 0.125 0.625 (multiplicity 8)

Properties
ΔE_f (raw), eV/atom: -0.93
Total moment, Bohr magnetons per cell: 6.8

Record 3
Below is RbHgSe3 at its PBEsol-relaxed geometry, with properties calculated at the SCAN level.

abc: 6.266 6.266 6.266
angles: 90.00 90.00 90.00
Space group Pm-3m (No. 221)
Unique sites:
Rb 0.000 0.000 0.000 (multiplicity 1)
Hg 0.500 0.500 0.500 (multiplicity 1)
Se 0.000 0.000 0.500 (multiplicity 3)

Properties
ΔE_f (raw), eV/atom: 0.82
Total moment, Bohr magnetons per cell: 5.0

Record 4
Below is MnBrCl at its PBEsol-relaxed geometry, with properties calculated at the SCAN level.

abc: 6.628 6.628 6.628
angles: 90.00 90.00 90.00
Space group F-43m (No. 216)
Unique sites:
Mn 0.000 0.000 0.000 (multiplicity 4)
Br 0.250 0.250 0.750 (multiplicity 4)
Cl 0.000 0.000 0.500 (multiplicity 4)

Properties
Offset from the most stable computed form, meV per atom: 1060
ΔE_f (raw), eV/atom: -0.33
Total moment, Bohr magnetons per cell: 20.0

Record 5
Below is CaY2P at its PBEsol-relaxed geometry, with properties calculated at the SCAN level.

abc: 4.635 4.635 4.341
angles: 90.00 90.00 90.00
Space group P4/mmm (No. 123)
Unique sites:
Ca 0.000 0.000 0.000 (multiplicity 1)
Y 0.000 0.500 0.500 (multiplicity 2)
P 0.500 0.500 0.000 (multiplicity 1)

Properties
Raw total energy, hartree per atom: -0.7063
Total moment, Bohr magnetons per cell: 0.0

Record 6
Below is Rb2V2Si8O21 at its PBEsol-relaxed geometry, with properties calculated at the SCAN level.

abc: 11.009 10.325 8.796
angles: 90.00 90.00 90.00
Space group Pmc2_1 (No. 26)
Unique sites:
Rb 0.000 0.107 0.000 (multiplicity 2)
Rb 0.500 0.391 0.786 (multiplicity 2)
V 0.500 0.043 0.794 (multiplicity 2)
V 0.500 0.254 0.207 (multiplicity 2)
Si 0.137 0.404 0.798 (multiplicity 4)
Si 0.238 0.142 0.663 (multiplicity 4)
Si 0.243 0.117 0.304 (multiplicity 4)
Si 0.243 0.364 0.125 (multiplicity 4)
O 0.000 0.454 0.764 (multiplicity 2)
O 0.152 0.387 0.981 (multiplicity 4)
O 0.155 0.263 0.721 (multiplicity 4)
O 0.172 0.013 0.742 (multiplicity 4)
O 0.181 0.240 0.216 (multiplicity 4)
O 0.209 0.127 0.482 (multiplicity 4)
O 0.235 0.493 0.233 (multiplicity 4)
O 0.378 0.155 0.706 (multiplicity 4)
O 0.380 0.335 0.077 (multiplicity 4)
O 0.386 0.108 0.267 (multiplicity 4)
O 0.500 0.076 0.973 (multiplicity 2)
O 0.500 0.342 0.357 (multiplicity 2)

Properties
ΔE_f (raw), eV/atom: -2.91
Total moment, Bohr magnetons per cell: 4.0

What are the calculated volume values for these records? In order: 21.0 33.1 49.2 24.3 23.3 15.1 Å³/atom.